Entry 1:
Density functional theory data (PBE) for a relaxed Ca2NdSi3Pt4 crystal.

The space group is P-4m2 (No. 115) and the conventional cell measures 4.317, 4.317 and 10.816 Å, with angles of 90.00, 90.00 and 90.00 degrees. The distinct sites, in fractional coordinates, are Ca at (0.000, 0.500, 0.225), Nd at (0.000, 0.000, 0.500), Si at (0.000, 0.500, 0.888), Si at (0.500, 0.500, 0.500), Pt at (0.000, 0.000, 0.000), Pt at (0.000, 0.500, 0.672) and Pt at (0.500, 0.500, 0.000).

As for the density of states at the Fermi level: 0.3433 states/eV per atom. The density comes out at 8.97 g/cm3. The calculation puts the formation energy from raw total energies at -0.910 eV per atom.

=====

Entry 2:
Density functional theory data (PBE) for a relaxed CaNd2Sn3Pt4 crystal.

The space group is P-4m2 (No. 115) and the conventional cell measures 4.612, 4.612 and 11.067 Å, with angles of 90.00, 90.00 and 90.00 degrees. The distinct sites, in fractional coordinates, are Ca at (0.000, 0.000, 0.000), Nd at (0.000, 0.500, 0.720), Sn at (0.000, 0.500, 0.376), Sn at (0.500, 0.500, 0.000), Pt at (0.000, 0.000, 0.500), Pt at (0.000, 0.500, 0.142) and Pt at (0.500, 0.500, 0.500).

As for the formation energy: -0.84 eV per atom. As for the density of states at the Fermi level: 0.4458 states/eV per atom. The density comes out at 10.34 g/cm3.

=====

Entry 3:
Density functional theory data (PBE) for a relaxed CaNdSnPt crystal.

The space group is F-43m (No. 216) and the conventional cell measures 7.413, 7.413 and 7.413 Å, with angles of 90.00, 90.00 and 90.00 degrees. The distinct sites, in fractional coordinates, are Ca at (0.000, 0.000, 0.000), Nd at (0.000, 0.000, 0.500), Sn at (0.250, 0.250, 0.750) and Pt at (0.250, 0.250, 0.250).

As for the formation energy: -0.76 eV per atom. As for the density of states at the Fermi level: 0.6543 states/eV per atom. The density comes out at 8.12 g/cm3.

=====

Entry 4:
Density functional theory data (PBE) for a relaxed CaNdTh2Pt4 crystal.

The space group is Fmm2 (No. 42) and the conventional cell measures 8.018, 11.611 and 8.651 Å, with angles of 90.00, 90.00 and 90.00 degrees. The distinct sites, in fractional coordinates, are Ca at (0.000, 0.000, 0.000), Nd at (0.000, 0.000, 0.423), Th at (0.250, 0.250, 0.168), Pt at (0.000, 0.244, 0.916) and Pt at (0.198, 0.000, 0.711).

As for the formation energy: -1.07 eV per atom. As for the density of states at the Fermi level: 0.4654 states/eV per atom. The density comes out at 11.78 g/cm3.

=====

Entry 5:
Density functional theory data (PBE) for a relaxed CaNdZnPt crystal.

The space group is F-43m (No. 216) and the conventional cell measures 7.189, 7.189 and 7.189 Å, with angles of 90.00, 90.00 and 90.00 degrees. The distinct sites, in fractional coordinates, are Ca at (0.000, 0.000, 0.000), Nd at (0.000, 0.000, 0.500), Zn at (0.250, 0.250, 0.750) and Pt at (0.250, 0.250, 0.250).

The value obtained for the energy above the most stable polymorph in this dataset is 4.3 kJ per mole of atoms. As for the formation energy: -0.66 eV per atom. As for the density of states at the Fermi level: 0.6579 states/eV per atom. The density comes out at 7.95 g/cm3.

=====

Entry 6:
Density functional theory data (PBE) for a relaxed CaNdZn2Pt2 crystal.

The space group is P-3m1 (No. 164) and the conventional cell measures 4.4432, 4.4432 and 7.4904 Å, with angles of 90.00, 90.00 and 120.00 degrees. The distinct sites, in fractional coordinates, are Ca at (0.0000, 0.0000, 0.0000), Nd at (0.0000, 0.0000, 0.5000), Zn at (0.3333, 0.6667, 0.7589) and Pt at (0.3333, 0.6667, 0.2559).

As for the formation energy: -0.80 eV per atom. As for the density of states at the Fermi level: 0.8062 states/eV per atom. The density comes out at 9.15 g/cm3.

=====

The records above yield V values of 201.6; 235.4; 407.4; 805.4; 371.5; 128.1 Å³ per cell, respectively.